[1]
First-principles (PBE) data for crystalline BaHfMgCr2 at its relaxed geometry, as listed in Alexandria via LeMat-Bulk.

a = 4.9764 Å, b = 4.9764 Å, c = 5.3720 Å
α = 90.00°, β = 90.00°, γ = 90.00°
Space group P4/mmm (No. 123)
Asymmetric unit:
Ba (0.0000, 0.0000, 0.0000) [1 per cell]
Hf (0.5000, 0.5000, 0.5000) [1 per cell]
Mg (0.0000, 0.0000, 0.5000) [1 per cell]
Cr (0.0000, 0.5000, 0.0000) [2 per cell]

Values from the calculation:
The total energy is -4.444 eV/atom. The value obtained for the total magnetic moment is 6.3 μB per formula unit.

[2]
First-principles (PBE) data for crystalline Ba2HfMnCr at its relaxed geometry, as listed in Alexandria via LeMat-Bulk.

a = 6.0767 Å, b = 6.0767 Å, c = 4.8703 Å
α = 90.00°, β = 90.00°, γ = 90.00°
Space group P4/mmm (No. 123)
Asymmetric unit:
Ba (0.0000, 0.5000, 0.0000) [2 per cell]
Hf (0.0000, 0.0000, 0.5000) [1 per cell]
Mn (0.5000, 0.5000, 0.5000) [1 per cell]
Cr (0.0000, 0.0000, 0.0000) [1 per cell]

Values from the calculation:
The total energy is -5.405 eV/atom. The value obtained for the total magnetic moment is 2.7 μB per formula unit.

[3]
First-principles (PBE) data for crystalline BaHfMnCr2 at its relaxed geometry, as listed in Alexandria via LeMat-Bulk.

a = 4.8726 Å, b = 4.8726 Å, c = 5.9093 Å
α = 90.00°, β = 90.00°, γ = 90.00°
Space group P4/mmm (No. 123)
Asymmetric unit:
Ba (0.0000, 0.0000, 0.0000) [1 per cell]
Hf (0.0000, 0.0000, 0.5000) [1 per cell]
Mn (0.5000, 0.5000, 0.0000) [1 per cell]
Cr (0.0000, 0.5000, 0.5000) [2 per cell]

Values from the calculation:
The total energy is -5.876 eV/atom. The value obtained for the total magnetic moment is 6.7 μB per formula unit.